An optimized crystal structure of Hf2AsP2. Source: Alexandria, functional PBE-GGA.

```
Hf2AsP2
1.0
7.245 0.000 0.000
0.000 7.245 0.000
0.000 0.000 3.404
Hf As P
4 2 4
Direct
0.160 0.340 0.000
0.340 0.840 0.000
0.660 0.160 0.000
0.840 0.660 0.000
0.000 0.000 0.000
0.500 0.500 0.000
0.133 0.633 0.500
0.367 0.133 0.500
0.633 0.867 0.500
0.867 0.367 0.500
```

## Properties
E_tot	-79.47	eV/cell
energy of formation	-420.7	kJ/mol of formula units
energy above the most stable polymorph in this dataset	0	meV/atom
space group	No. 127